Entry 1:
Material: AcGa3Ni2
Method: DFT, PBE
State: relaxed

extended XYZ file:
```
12
Lattice="-1.5792 1.2728 5.1235 -3.7170 -0.1811 -4.0639 -1.3055 -7.8315 1.5432" Properties=species:S:1:pos:R:3 pbc="T T T"
Ac -0.6528 -3.9157 0.7716
Ac 0.0000 0.0000 0.0000
Ga -1.1160 -1.3214 2.9476
Ga -2.8376 -5.9642 -0.8745
Ga -1.7687 -5.2372 3.7191
Ga -2.9744 -1.4120 0.9156
Ga -2.1850 -2.0484 -1.6462
Ga -3.6273 -5.3278 1.6872
Ni -2.9446 -3.1276 2.8327
Ni -3.0044 0.3035 -1.0014
Ni -3.6572 -3.6122 -0.2298
Ni -2.2918 0.7882 2.0611
```

Summary:
Calculated total energy = -4.618 eV per atom
V = 213 Å³/cell
E_form = -2.96 eV per formula unit
E above lowest polymorph = 38 meV per atom
Symmetry = No. 191
Mass density = 8.64 Mg/m³

=====

Entry 2:
Material: La12TbCo7
Method: DFT, PBE
State: relaxed

extended XYZ file:
```
20
Lattice="8.5111 -0.1443 -2.5638 -3.4113 7.7989 -2.5638 -0.0961 -0.1443 8.8883" Properties=species:S:1:pos:R:3 pbc="T T T"
La 6.7167 2.2120 3.7482
La 5.0684 1.6121 -1.6489
La 3.2537 1.0939 1.7785
La 5.0006 4.6775 1.1298
La 1.5550 0.4598 5.3270
La 3.3631 4.0863 4.4892
La 1.6406 3.4240 -0.7286
La 3.4487 7.0504 -1.5664
La 0.0030 2.8328 2.6308
La 1.7500 6.4164 1.9821
La -0.0647 5.8982 5.4095
La -1.7130 5.2983 0.0124
Tb 0.0000 0.0000 0.0000
Co 6.0405 4.7585 3.6192
Co 2.5982 0.9192 -1.0353
Co 0.9531 0.1030 2.7836
Co 2.5018 3.7551 1.8803
Co 4.0506 7.4073 0.9770
Co 2.4055 6.5911 4.7960
Co -1.0369 2.7518 0.1415
```

Summary:
Calculated total energy = -5.772 eV per atom
V = 579 Å³/cell
E_form = -1.94 eV per formula unit
Symmetry = No. 148
Mass density = 6.42 Mg/m³

=====

Entry 3:
Material: SrTaMo
Method: DFT, PBE
State: relaxed

extended XYZ file:
```
3
Lattice="4.8286 0.0000 0.0000 2.4143 4.1817 0.0000 2.4143 1.3939 3.9425" Properties=species:S:1:pos:R:3 pbc="T T T"
Mo 4.8286 2.7878 1.9713
Sr 7.2429 4.1817 2.9569
Ta 0.0000 0.0000 0.0000
```

Summary:
Calculated total energy = -5.524 eV per atom
V = 80 Å³/cell
E_form = 7.79 eV per formula unit
E above lowest polymorph = 2086 meV per atom
Symmetry = No. 216
Mass density = 7.60 Mg/m³

=====

Entry 4:
Material: In6Sn7
Method: DFT, PBE
State: relaxed

extended XYZ file:
```
13
Lattice="6.1546 0.0000 1.2364 2.9531 5.3999 1.2364 0.8847 0.5245 11.5326" Properties=species:S:1:pos:R:3 pbc="T T T"
In 8.8031 5.2192 3.9895
In 1.1893 0.7051 10.0160
In 8.1186 4.8134 7.3964
In 1.8738 1.1109 6.6091
In 6.0624 3.5943 1.6954
In 3.9300 2.3300 12.3101
Sn 5.4735 5.0899 4.6268
Sn 3.9806 2.3601 4.0018
Sn 7.0920 2.3601 4.6268
Sn 4.5189 0.8345 9.3786
Sn 2.9004 3.5643 9.3786
Sn 6.0118 3.5643 10.0037
Sn 4.9962 2.9622 7.0027
```

Summary:
Calculated total energy = -3.351 eV per atom
V = 375 Å³/cell
E_form = 0.88 eV per formula unit
Symmetry = No. 166
Mass density = 6.72 Mg/m³

=====

Entry 5:
Material: LaAlBPd6
Method: DFT, PBE
State: relaxed

extended XYZ file:
```
18
Lattice="6.5467 0.0000 0.0000 0.0000 8.6616 0.0000 -3.2734 -4.3308 5.6030" Properties=species:S:1:pos:R:3 pbc="T T T"
La 3.2734 2.1654 3.5957
La 0.0000 2.1654 2.0073
Al 1.6367 -2.1654 2.8015
Al -1.6367 -2.1654 2.8015
B 3.2734 4.3308 0.0000
B 3.2734 0.0000 0.0000
Pd 0.0000 2.1654 5.2010
Pd 3.2734 -2.1654 4.6548
Pd 4.7883 -0.0917 1.4036
Pd 1.7585 4.4224 1.4036
Pd 1.7585 -0.0917 1.4036
Pd 4.7883 4.4224 1.4036
Pd 3.2734 2.1654 0.4020
Pd 0.0000 6.4962 0.9482
Pd -1.5149 4.4224 4.1994
Pd 1.5149 -0.0917 4.1994
Pd 1.5149 4.4224 4.1994
Pd -1.5149 -0.0917 4.1994
```

Summary:
Calculated total energy = -5.621 eV per atom
V = 318 Å³/cell
E_form = -4.09 eV per formula unit
Symmetry = No. 74
Mass density = 8.52 Mg/m³

=====

Entry 6:
Material: Sr4Bi2F
Method: DFT, PBE
State: relaxed

extended XYZ file:
```
7
Lattice="5.0683 0.0000 0.0000 0.0000 5.0683 0.0000 2.5342 2.5342 9.3035" Properties=species:S:1:pos:R:3 pbc="T T T"
Sr 5.0683 5.0683 3.4001
Sr 2.5342 2.5342 5.9035
Sr 0.0000 2.5342 0.0000
Sr 2.5342 0.0000 0.0000
Bi 5.0683 5.0683 6.8459
Bi 2.5342 2.5342 2.4577
F 0.0000 0.0000 0.0000
```

Summary:
Calculated total energy = -3.740 eV per atom
V = 239 Å³/cell
Formation energy without anion corrections = -1403 meV per atom
Symmetry = No. 139
Mass density = 5.47 Mg/m³

=====

Entry 7:
Material: BaOs2Se
Method: DFT, PBE
State: relaxed

extended XYZ file:
```
4
Lattice="3.1417 -0.0038 0.0000 -1.5025 2.7592 0.0000 0.0000 0.0000 9.3200" Properties=species:S:1:pos:R:3 pbc="T T T"
Ba 0.8196 1.3777 6.9900
Os 0.0000 0.0000 0.4435
Os 0.0000 0.0000 4.2165
Se 0.8196 1.3777 2.3300
```

Summary:
Calculated total energy = -5.611 eV per atom
V = 81 Å³/cell
Formation energy without anion corrections = 1355 meV per atom
Symmetry = No. 65
Mass density = 12.27 Mg/m³

=====

Entry 8:
Material: Cr2AgCl
Method: DFT, PBE
State: relaxed

extended XYZ file:
```
4
Lattice="4.8276 0.0000 0.0000 2.4138 4.1808 0.0000 2.4138 1.3936 3.9417" Properties=species:S:1:pos:R:3 pbc="T T T"
Cr 0.0000 0.0000 0.0000
Cr 2.4138 1.3936 0.9854
Ag 4.8276 2.7872 1.9709
Cl 7.2414 4.1808 2.9563
```

Summary:
Calculated total energy = -5.127 eV per atom
V = 80 Å³/cell
E above lowest polymorph = 689 meV per atom
Formation energy without anion corrections = 859 meV per atom
Symmetry = No. 216
Mass density = 5.16 Mg/m³

=====

Entry 9:
Material: LiSb2AsP
Method: DFT, PBE
State: relaxed

extended XYZ file:
```
5
Lattice="5.4769 0.0000 0.0000 0.0000 4.7300 0.0000 0.0000 0.0000 5.4769" Properties=species:S:1:pos:R:3 pbc="T T T"
Sb 0.0000 0.0000 2.7385
Sb 2.7385 0.0000 0.0000
As 0.0000 0.0000 0.0000
Li 2.7385 2.3650 2.7385
P 0.0000 2.3650 0.0000
```

Summary:
Calculated total energy = -3.480 eV per atom
V = 142 Å³/cell
Formation energy without anion corrections = 564 meV per atom
Symmetry = No. 123
Mass density = 4.17 Mg/m³

=====

Entry 10:
Material: AlHSe2Br
Method: DFT, PBE
State: relaxed

extended XYZ file:
```
5
Lattice="-1.3340 -0.2454 4.6972 -1.0488 -4.7440 -0.5457 4.8931 -1.2342 1.3251" Properties=species:S:1:pos:R:3 pbc="T T T"
H 1.2551 -3.1118 2.7383
Se -0.5244 -2.3720 -0.2729
Se -0.6670 -0.1227 2.3486
Br 2.4466 -0.6171 0.6626
Al 0.0000 0.0000 0.0000
```

Summary:
Calculated total energy = -2.760 eV per atom
V = 125 Å³/cell
E above lowest polymorph = 109 meV per atom
Symmetry = No. 123
Mass density = 3.54 Mg/m³

=====

Entry 11:
Material: Ho4Tm5Sc
Method: DFT, PBE
State: relaxed

extended XYZ file:
```
10
Lattice="-0.2640 -1.7319 -3.0432 -2.1482 -7.8668 4.6634 -9.2779 1.6533 1.8897" Properties=species:S:1:pos:R:3 pbc="T T T"
Ho -6.0768 0.3684 0.3174
Ho -9.9271 -6.3240 2.4342
Ho -5.6132 -8.3138 3.1925
Ho -1.7629 -1.6214 1.0757
Tm -6.8344 -5.4674 1.6785
Tm -8.0278 -2.5159 0.1022
Tm -3.6622 -5.4296 3.4077
Tm -1.2061 -4.7993 0.8101
Tm -4.8556 -2.4780 1.8314
Sc -0.1320 -0.8660 -1.5216
```

Summary:
Calculated total energy = -4.539 eV per atom
V = 307 Å³/cell
E_form = 1.61 eV per formula unit
E above lowest polymorph = 0 meV per atom
Symmetry = No. 12
Mass density = 8.39 Mg/m³

=====

Entry 12:
Material: Sm2Ge5Pt3
Method: DFT, PBE
State: relaxed

extended XYZ file:
```
20
Lattice="-7.6583 3.2792 1.5024 -3.4186 -6.4648 -4.2637 4.2615 0.9424 7.2533" Properties=species:S:1:pos:R:3 pbc="T T T"
Sm -4.8632 -0.2089 0.9854
Sm -1.9521 -2.0344 3.5067
Sm -2.8869 -4.9024 -1.5276
Sm -3.9284 2.6592 6.0197
Ge -1.4876 0.7302 5.1253
Ge -5.3277 -2.9734 -0.6332
Ge -2.3101 -2.1056 0.1190
Ge -4.9267 2.6235 2.8782
Ge -4.5052 -0.1377 4.3731
Ge -1.8886 -4.8668 1.6138
Ge -7.8777 -0.4737 1.3462
Ge 1.0623 -1.7696 3.1458
Ge -1.6959 0.3196 1.0685
Ge -5.1194 -2.5628 3.4236
Pt 0.6322 -4.1418 2.2422
Pt 0.2107 -1.3806 0.7474
Pt -2.8589 1.2019 3.0262
Pt -3.9564 -3.4452 1.4658
Pt -7.4505 -1.5676 -0.7949
Pt 0.6352 -0.6756 5.2870
```

Summary:
Calculated total energy = -5.884 eV per atom
V = 387 Å³/cell
E_form = -8.20 eV per formula unit
E above lowest polymorph = 0 meV per atom
Symmetry = No. 72
Mass density = 10.73 Mg/m³

=====

Entry 13:
Material: K3SnIr
Method: DFT, PBE
State: relaxed

extended XYZ file:
```
5
Lattice="-3.0676 -4.9912 1.5574 0.4360 -2.0435 -5.6905 5.2103 -2.7676 1.3931" Properties=species:S:1:pos:R:3 pbc="T T T"
K 0.2180 -1.0218 -2.8453
K 2.6052 -1.3838 0.6965
K -1.5338 -2.4956 0.7787
Ir 0.0000 0.0000 0.0000
Sn 1.2893 -4.9012 -1.3700
```

Summary:
Calculated total energy = -2.342 eV per atom
V = 223 Å³/cell
E_form = 4.45 eV per formula unit
E above lowest polymorph = 0 meV per atom
Symmetry = No. 221
Mass density = 3.19 Mg/m³

=====

Entry 14:
Material: TiSnGeBr2
Method: DFT, PBE
State: relaxed

extended XYZ file:
```
5
Lattice="4.8760 0.0000 0.0000 0.0000 5.8910 0.0000 0.0000 0.0000 4.8760" Properties=species:S:1:pos:R:3 pbc="T T T"
Ge 2.4380 2.9455 2.4380
Sn 0.0000 2.9455 0.0000
Br 0.0000 0.0000 2.4380
Br 2.4380 0.0000 0.0000
Ti 0.0000 0.0000 0.0000
```

Summary:
Calculated total energy = -3.971 eV per atom
V = 140 Å³/cell
Formation energy without anion corrections = 1 meV per atom
Symmetry = No. 123
Mass density = 4.73 Mg/m³

=====

Entry 15:
Material: Nb5V5Mo2
Method: DFT, PBE
State: relaxed

extended XYZ file:
```
12
Lattice="-2.1468 1.2976 -3.7247 -2.6550 -3.8030 -2.5017 -8.7623 1.3019 2.7968" Properties=species:S:1:pos:R:3 pbc="T T T"
Nb -6.7821 -0.6018 -1.7148
Nb -1.6320 -0.8416 -2.0596
Nb -5.5679 -2.6347 -3.1228
Nb -7.9962 1.4311 -0.3068
Nb -11.9321 -0.3620 -1.3700
V -8.3740 -1.4313 -3.7933
V -9.0359 -1.5482 -0.7455
V -4.5282 0.3447 -2.6841
V -5.1901 0.2277 0.3637
V 0.0000 0.0000 0.0000
Mo -9.6001 0.5932 -2.3813
Mo -3.9640 -1.7968 -1.0483
```

Summary:
Calculated total energy = -9.796 eV per atom
V = 191 Å³/cell
E_form = 0.05 eV per formula unit
Symmetry = No. 12
Mass density = 7.92 Mg/m³

=====

Entry 16:
Material: Ba2Hg2Bi
Method: DFT, PBE
State: relaxed

extended XYZ file:
```
10
Lattice="-1.0031 -6.7591 -6.9288 7.0168 4.2906 -5.2013 2.8832 -2.3922 1.9162" Properties=species:S:1:pos:R:3 pbc="T T T"
Ba 5.4082 1.3655 -6.4327
Ba 3.9817 -2.5796 -9.2114
Ba 0.6055 -3.8339 -5.6974
Ba 2.0320 0.1112 -2.9187
Bi 0.0000 0.0000 0.0000
Bi 3.0069 -1.2342 -6.0650
Hg 5.6348 0.6681 -3.0238
Hg 7.0437 -1.5432 -7.9043
Hg 3.2622 -5.5288 -7.1901
Hg 1.8533 -3.3174 -2.3096
```

Summary:
Calculated total energy = -2.077 eV per atom
V = 398 Å³/cell
E_form = -2.05 eV per formula unit
E above lowest polymorph = 197 meV per atom
Symmetry = No. 127
Mass density = 7.37 Mg/m³

=====

Entry 17:
Material: Pu3Tl3AuSe8
Method: DFT, PBE
State: relaxed

extended XYZ file:
```
15
Lattice="8.4048 0.0000 0.0000 -4.2024 6.9771 0.0270 0.0000 -4.5494 7.7677" Properties=species:S:1:pos:R:3 pbc="T T T"
Pu 4.2024 -2.2747 3.8838
Pu 2.1012 1.2139 3.8973
Pu -2.1012 1.2139 3.8973
Tl 0.0000 0.0000 0.0000
Tl -2.1012 3.4886 0.0135
Tl 2.1012 3.4886 0.0135
Au 0.0000 -2.2747 3.8838
Se 0.0000 2.3468 2.3013
Se 4.2024 0.0810 5.4934
Se 4.2024 2.5687 2.4467
Se 0.0000 -0.1410 5.3480
Se 6.1482 -1.0475 2.2493
Se -1.9458 3.4753 5.5454
Se 2.2566 -1.0475 2.2493
Se 1.9458 3.4753 5.5454
```

Summary:
Calculated total energy = -6.258 eV per atom
V = 457 Å³/cell
Formation energy without anion corrections = -841 meV per atom
Symmetry = No. 12
Mass density = 7.91 Mg/m³

=====

Entry 18:
Material: TbY4Al2
Method: DFT, PBE
State: relaxed

extended XYZ file:
```
7
Lattice="-1.1799 -2.2799 4.6336 2.0795 -4.7118 1.2391 6.4254 1.2460 5.2773" Properties=species:S:1:pos:R:3 pbc="T T T"
Y 3.7078 -5.3521 7.3946
Y 3.6173 -0.3936 3.7554
Y 2.1281 -3.7688 4.7434
Y 5.1969 -1.9769 6.4065
Tb 0.0000 0.0000 0.0000
Al 6.0692 -3.9733 8.6743
Al 1.2558 -1.7724 2.4756
```

Summary:
Calculated total energy = -5.637 eV per atom
V = 190 Å³/cell
E_form = -1.49 eV per formula unit
E above lowest polymorph = 0 meV per atom
Symmetry = No. 166
Mass density = 4.96 Mg/m³

=====

Entry 19:
Material: CuAgAu5
Method: DFT, PBE
State: relaxed

extended XYZ file:
```
7
Lattice="-4.4334 -1.0647 -2.0919 3.6820 -2.9365 -1.7276 -1.0565 -3.7711 4.1584" Properties=species:S:1:pos:R:3 pbc="T T T"
Cu -0.9040 -3.8862 0.1695
Ag 0.0000 0.0000 0.0000
Au 1.2033 -4.4037 -1.7425
Au -2.8543 -3.4678 -1.9247
Au -0.5282 -1.8855 2.0792
Au 1.0463 -4.3045 2.2636
Au -3.0112 -3.3686 2.0814
```

Summary:
Calculated total energy = -3.272 eV per atom
V = 133 Å³/cell
E_form = 0.43 eV per formula unit
E above lowest polymorph = 0 meV per atom
Symmetry = No. 65
Mass density = 14.45 Mg/m³

=====

Entry 20:
Material: Ca2Cu2Pd
Method: DFT, PBE
State: relaxed

extended XYZ file:
```
5
Lattice="4.2647 0.0000 -1.6136 -0.8645 4.5037 -2.2850 -0.3285 -0.1494 5.5743" Properties=species:S:1:pos:R:3 pbc="T T T"
Ca 2.9722 1.2873 1.4128
Ca 0.0995 3.0670 0.2629
Cu 1.4893 3.3497 -2.5063
Cu 1.9108 1.1540 -1.3923
Pd 0.0000 0.0000 0.0000
```

Summary:
Calculated total energy = -3.833 eV per atom
V = 103 Å³/cell
E_form = -1.78 eV per formula unit
E above lowest polymorph = 0 meV per atom
Symmetry = No. 71
Mass density = 5.06 Mg/m³

=====

Entry 21:
Material: CdIn2P
Method: DFT, PBE
State: relaxed

extended XYZ file:
```
4
Lattice="-0.0005 -4.9352 0.4517 -0.0817 -0.3965 -4.3313 4.3494 -0.0079 -0.0813" Properties=species:S:1:pos:R:3 pbc="T T T"
Cd 2.1744 -2.4715 0.1852
In 0.0000 0.0000 0.0000
In 2.1338 -0.2022 -2.2063
P -0.0411 -2.6658 -1.9398
```

Summary:
Calculated total energy = -2.713 eV per atom
V = 94 Å³/cell
E_form = 0.95 eV per formula unit
E above lowest polymorph = 220 meV per atom
Symmetry = No. 123
Mass density = 6.60 Mg/m³

=====

Entry 22:
Material: Tb7Pm2Dy4
Method: DFT, PBE
State: relaxed

extended XYZ file:
```
13
Lattice="6.0907 0.0000 0.0000 -3.0454 5.2747 0.0000 0.0000 0.0000 13.3058" Properties=species:S:1:pos:R:3 pbc="T T T"
Tb 4.1336 3.3898 10.4061
Tb -1.0882 1.8849 2.8997
Tb 0.0000 0.0000 0.0000
Tb 3.9143 0.0000 10.4061
Tb 2.1765 0.0000 2.8997
Tb 1.9571 3.3898 2.8997
Tb 1.0882 1.8849 10.4061
Pm 3.0454 1.7582 0.0000
Pm 0.0000 3.5165 0.0000
Dy 0.0000 0.0000 8.0581
Dy 6.0907 0.0000 5.2477
Dy 3.0454 1.7582 6.6529
Dy 0.0000 3.5165 6.6529
```

Summary:
Calculated total energy = -4.465 eV per atom
V = 427 Å³/cell
E_form = 2.28 eV per formula unit
Symmetry = No. 162
Mass density = 7.97 Mg/m³

=====

Entry 23:
Material: Pm15Tl4In
Method: DFT, PBE
State: relaxed

extended XYZ file:
```
20
Lattice="4.9549 0.0000 0.0000 0.0000 4.9549 0.0000 0.0000 0.0000 24.8880" Properties=species:S:1:pos:R:3 pbc="T T T"
Pm 2.4774 2.4774 0.0000
Pm 2.4774 2.4774 4.9769
Pm 2.4774 2.4774 9.9601
Pm 2.4774 2.4774 14.9280
Pm 2.4774 2.4774 19.9111
Pm 2.4774 0.0000 2.4768
Pm 2.4774 0.0000 7.4707
Pm 2.4774 0.0000 12.4440
Pm 2.4774 0.0000 17.4173
Pm 2.4774 0.0000 22.4112
Pm 0.0000 2.4774 2.4768
Pm 0.0000 2.4774 7.4707
Pm 0.0000 2.4774 12.4440
Pm 0.0000 2.4774 17.4173
Pm 0.0000 2.4774 22.4112
Tl 0.0000 0.0000 4.9838
Tl 0.0000 0.0000 9.9582
Tl 0.0000 0.0000 14.9298
Tl 0.0000 0.0000 19.9042
In 0.0000 0.0000 0.0000
```

Summary:
Calculated total energy = -4.390 eV per atom
V = 611 Å³/cell
E_form = -4.33 eV per formula unit
Symmetry = No. 123
Mass density = 8.44 Mg/m³